(1)
Computed, not measured: crystalline YEr4Hg2 at its relaxed geometry at the PBE level of DFT.

Space-group type: R-3m
DOS at the Fermi energy in states/eV/cell: 7.0
DFT total energy in eV per atom: -3.59
ΔE_f in eV per atom: 0.0266

a b c (Å): 5.0112 5.0112 10.5421
angles (deg): 76.25 76.25 60.00
Atoms (fractional coordinates):
Y (0.5000, 0.5000, 0.5000)
Er (0.7025, 0.7025, 0.8926)
Er (0.8953, 0.8953, 0.3142)
Er (0.2975, 0.2975, 0.1074)
Er (0.1047, 0.1047, 0.6858)
Hg (0.6010, 0.6010, 0.1969)
Hg (0.3990, 0.3990, 0.8031)

---

(2)
Computed, not measured: crystalline SrTePdO6 at its relaxed geometry at the PBE level of DFT.

Space-group type: P312
DOS at the Fermi energy in states/eV/cell: 0.0
DFT total energy in eV per atom: -5.79

a b c (Å): 5.2716 5.2716 5.4612
angles (deg): 90.00 90.00 60.00
Atoms (fractional coordinates):
Sr (0.0000, 0.0000, 0.0000)
Te (0.3333, 0.3333, 0.5000)
Pd (0.6666, 0.6667, 0.5000)
O (0.0101, 0.3671, 0.2971)
O (0.3671, 0.0101, 0.7028)
O (0.6227, 0.3671, 0.7028)
O (0.0101, 0.6228, 0.7028)
O (0.3671, 0.6228, 0.2971)
O (0.6228, 0.0101, 0.2971)

---

> Number 1 is which compound?

YEr4Hg2

---

> What is the formula in the first record?

YEr4Hg2